1.
InSiS2N: optimized geometry, PBE.

a b c (Å): 4.836 4.836 3.404
angles (deg): 90.00 90.00 90.00
Element x y z (fractional)
In: 0.000 0.000 0.000
Si: 0.500 0.500 0.500
S: 0.000 0.500 0.500
S: 0.500 0.000 0.500
N: 0.500 0.500 0.000

Values from the calculation:
Space group   P4/mmm
Energy above the most stable polymorph in this dataset   0.0 meV per atom
Energy relative to the elements, uncorrected   0.0644 eV per atom
Spin magnetization   0.00 μB/f.u.

2.
InSnS2N: optimized geometry, PBE.

a b c (Å): 5.204 5.204 4.160
angles (deg): 90.00 90.00 90.00
Element x y z (fractional)
In: 0.000 0.000 0.000
Sn: 0.500 0.500 0.500
S: 0.000 0.500 0.500
S: 0.500 0.000 0.500
N: 0.500 0.500 0.000

Values from the calculation:
Space group   P4/mmm
Energy above the most stable polymorph in this dataset   0.0 meV per atom
Energy relative to the elements, uncorrected   0.5268 eV per atom
Spin magnetization   1.39 μB/f.u.

3.
InSnS2N: optimized geometry, PBE.

a b c (Å): 5.168 5.168 4.203
angles (deg): 90.00 90.00 90.00
Element x y z (fractional)
In: 0.000 0.000 0.000
Sn: 0.500 0.500 0.500
S: 0.000 0.500 0.000
S: 0.500 0.000 0.000
N: 0.000 0.000 0.500

Values from the calculation:
Space group   P4/mmm
Energy above the most stable polymorph in this dataset   40.1 meV per atom
Energy relative to the elements, uncorrected   0.5669 eV per atom
Spin magnetization   2.01 μB/f.u.

4.
SrInSN2: optimized geometry, PBE.

a b c (Å): 4.357 4.357 5.300
angles (deg): 90.00 90.00 90.00
Element x y z (fractional)
Sr: 0.000 0.000 0.000
In: 0.500 0.500 0.500
S: 0.500 0.500 0.000
N: 0.000 0.500 0.500
N: 0.500 0.000 0.500

Values from the calculation:
Space group   P4/mmm
Energy above the most stable polymorph in this dataset   0.0 meV per atom
Energy relative to the elements, uncorrected   0.3591 eV per atom
Spin magnetization   2.97 μB/f.u.

5.
SrInS2N: optimized geometry, PBE.

a b c (Å): 5.731 5.731 4.944
angles (deg): 90.00 90.00 90.00
Element x y z (fractional)
Sr: 0.000 0.000 0.000
In: 0.500 0.500 0.500
S: 0.000 0.500 0.000
S: 0.500 0.000 0.000
N: 0.000 0.000 0.500

Values from the calculation:
Space group   P4/mmm
Energy above the most stable polymorph in this dataset   793.0 meV per atom
Energy relative to the elements, uncorrected   0.5546 eV per atom
Spin magnetization   4.02 μB/f.u.

6.
SrInSN2: optimized geometry, PBE.

a b c (Å): 4.910 4.910 5.853
angles (deg): 90.00 90.00 90.00
Element x y z (fractional)
Sr: 0.000 0.000 0.000
In: 0.500 0.500 0.500
S: 0.000 0.000 0.500
N: 0.000 0.500 0.000
N: 0.500 0.000 0.000

Values from the calculation:
Space group   P4/mmm
Energy above the most stable polymorph in this dataset   789.8 meV per atom
Energy relative to the elements, uncorrected   1.1490 eV per atom
Spin magnetization   4.86 μB/f.u.

7.
SrInS2N: optimized geometry, PBE.

a b c (Å): 5.145 5.145 4.187
angles (deg): 90.00 90.00 90.00
Element x y z (fractional)
Sr: 0.000 0.000 0.000
In: 0.500 0.500 0.500
S: 0.000 0.500 0.500
S: 0.500 0.000 0.500
N: 0.500 0.500 0.000

Values from the calculation:
Space group   P4/mmm
Energy above the most stable polymorph in this dataset   0.0 meV per atom
Energy relative to the elements, uncorrected   -0.2384 eV per atom
Spin magnetization   2.01 μB/f.u.

8.
TaInSN2: optimized geometry, PBE.

a b c (Å): 4.032 4.032 5.192
angles (deg): 90.00 90.00 90.00
Element x y z (fractional)
Ta: 0.000 0.000 0.000
In: 0.500 0.500 0.500
S: 0.000 0.000 0.500
N: 0.000 0.500 0.000
N: 0.500 0.000 0.000

Values from the calculation:
Space group   P4/mmm
Energy above the most stable polymorph in this dataset   0.0 meV per atom
Energy relative to the elements, uncorrected   -0.0289 eV per atom
Spin magnetization   0.44 μB/f.u.

9.
TaInSN2: optimized geometry, PBE.

a b c (Å): 4.055 4.055 5.038
angles (deg): 90.00 90.00 90.00
Element x y z (fractional)
Ta: 0.000 0.000 0.000
In: 0.500 0.500 0.500
S: 0.500 0.500 0.000
N: 0.000 0.500 0.500
N: 0.500 0.000 0.500

Values from the calculation:
Space group   P4/mmm
Energy above the most stable polymorph in this dataset   1654.2 meV per atom
Energy relative to the elements, uncorrected   1.6253 eV per atom
Spin magnetization   0.42 μB/f.u.

10.
TaInS2N: optimized geometry, PBE.

a b c (Å): 4.931 4.931 4.041
angles (deg): 90.00 90.00 90.00
Element x y z (fractional)
Ta: 0.000 0.000 0.000
In: 0.500 0.500 0.500
S: 0.000 0.500 0.000
S: 0.500 0.000 0.000
N: 0.000 0.000 0.500

Values from the calculation:
Space group   P4/mmm
Energy above the most stable polymorph in this dataset   0.0 meV per atom
Energy relative to the elements, uncorrected   -0.2858 eV per atom
Spin magnetization   0.00 μB/f.u.

11.
TaInS2N: optimized geometry, PBE.

a b c (Å): 5.074 5.074 4.088
angles (deg): 90.00 90.00 90.00
Element x y z (fractional)
Ta: 0.000 0.000 0.000
In: 0.500 0.500 0.500
S: 0.000 0.500 0.500
S: 0.500 0.000 0.500
N: 0.500 0.500 0.000

Values from the calculation:
Space group   P4/mmm
Energy above the most stable polymorph in this dataset   1541.1 meV per atom
Energy relative to the elements, uncorrected   1.2553 eV per atom
Spin magnetization   0.95 μB/f.u.

12.
InTcS2N: optimized geometry, PBE.

a b c (Å): 4.932 4.932 3.737
angles (deg): 90.00 90.00 90.00
Element x y z (fractional)
In: 0.000 0.000 0.000
Tc: 0.500 0.500 0.500
S: 0.000 0.500 0.500
S: 0.500 0.000 0.500
N: 0.500 0.500 0.000

Values from the calculation:
Space group   P4/mmm
Energy above the most stable polymorph in this dataset   0.0 meV per atom
Energy relative to the elements, uncorrected   0.0943 eV per atom
Spin magnetization   0.00 μB/f.u.

13.
InTcS2N: optimized geometry, PBE.

a b c (Å): 5.131 5.131 4.108
angles (deg): 90.00 90.00 90.00
Element x y z (fractional)
In: 0.000 0.000 0.000
Tc: 0.500 0.500 0.500
S: 0.000 0.500 0.000
S: 0.500 0.000 0.000
N: 0.000 0.000 0.500

Values from the calculation:
Space group   P4/mmm
Energy above the most stable polymorph in this dataset   1285.5 meV per atom
Energy relative to the elements, uncorrected   1.3798 eV per atom
Spin magnetization   6.62 μB/f.u.

14.
InTeSN2: optimized geometry, PBE.

a b c (Å): 4.027 4.027 5.389
angles (deg): 90.00 90.00 90.00
Element x y z (fractional)
In: 0.000 0.000 0.000
Te: 0.500 0.500 0.500
S: 0.500 0.500 0.000
N: 0.000 0.500 0.500
N: 0.500 0.000 0.500

Values from the calculation:
Space group   P4/mmm
Energy above the most stable polymorph in this dataset   0.0 meV per atom
Energy relative to the elements, uncorrected   1.0913 eV per atom
Spin magnetization   0.00 μB/f.u.

15.
InTeSN2: optimized geometry, PBE.

a b c (Å): 4.044 4.044 5.519
angles (deg): 90.00 90.00 90.00
Element x y z (fractional)
In: 0.000 0.000 0.000
Te: 0.500 0.500 0.000
S: 0.500 0.500 0.500
N: 0.000 0.500 0.500
N: 0.500 0.000 0.500

Values from the calculation:
Space group   P4/mmm
Energy above the most stable polymorph in this dataset   500.2 meV per atom
Energy relative to the elements, uncorrected   1.5914 eV per atom
Spin magnetization   2.02 μB/f.u.